Below is Ta2AuCl after structural relaxation, with properties calculated at the PBE level.

Formation energy without anion corrections in meV/atom: 697.2
Excess energy over the best structure of this formula in the dataset in kJ/mol of atoms: 81.51
Symmetry: No. 119
Density in g/cm³: 13.51

a b c (Å): 5.433 5.433 5.433
angles (deg): 137.24 137.24 62.06
Fractional positions:
Ta (0.000, 0.000, 0.000)
Cl (0.750, 0.250, 0.500)
Ta (0.250, 0.750, 0.500)
Au (0.500, 0.500, 0.000)

Below is Ba2CdSb after structural relaxation, with properties calculated at the PBE level.

Formation energy without anion corrections in meV/atom: -655.6
Excess energy over the best structure of this formula in the dataset in kJ/mol of atoms: 5.12
Symmetry: No. 2
Density in g/cm³: 5.37

a b c (Å): 4.682 5.367 12.740
angles (deg): 90.03 100.58 90.00
Fractional positions:
Ba (0.813, 0.750, 0.625)
Cd (0.337, 0.250, 0.674)
Ba (0.051, 0.750, 0.102)
Cd (0.663, 0.750, 0.326)
Sb (0.578, 0.251, 0.156)
Ba (0.187, 0.250, 0.375)
Ba (0.949, 0.250, 0.898)
Sb (0.422, 0.749, 0.844)

Below is Li3Mg3Sn2Ge after structural relaxation, with properties calculated at the PBE level.

Energy relative to the elements in meV per atom: -301.9
Symmetry: No. 189
Density in g/cm³: 3.60

a b c (Å): 3.395 7.955 7.955
angles (deg): 120.00 90.00 90.00
Fractional positions:
Ge (0.000, 0.000, 0.000)
Li (0.000, 0.370, 0.000)
Sn (0.500, 0.667, 0.333)
Sn (0.500, 0.333, 0.667)
Li (0.000, 0.000, 0.370)
Li (0.000, 0.630, 0.630)
Mg (0.500, 0.275, 0.275)
Mg (0.500, 0.000, 0.725)
Mg (0.500, 0.725, 0.000)

Below is MgInFeCu2 after structural relaxation, with properties calculated at the PBE level.

Energy relative to the elements in meV per atom: 1349.3
Symmetry: No. 123
Density in g/cm³: 3.51

a b c (Å): 5.313 5.313 5.393
angles (deg): 90.00 90.00 90.00
Fractional positions:
In (0.000, 0.000, 0.000)
Cu (0.000, 0.500, 0.000)
Mg (0.000, 0.000, 0.500)
Cu (0.500, 0.000, 0.000)
Fe (0.500, 0.500, 0.500)

Below is LiYTm2Au4 after structural relaxation, with properties calculated at the PBE level.

Energy relative to the elements in meV per atom: -788.3
Symmetry: No. 166
Density in g/cm³: 11.79

a b c (Å): 4.937 4.937 8.633
angles (deg): 73.39 73.39 60.00
Fractional positions:
Tm (0.244, 0.244, 0.269)
Au (0.877, 0.877, 0.368)
Au (0.376, 0.376, 0.872)
Au (0.123, 0.123, 0.632)
Tm (0.756, 0.756, 0.731)
Li (0.500, 0.500, 0.500)
Au (0.624, 0.624, 0.128)
Y (0.000, 0.000, 0.000)